DFT (PBE) results for crystalline KAg2Rh at its relaxed geometry.

space-group type: Cm
formation energy: 0.387 eV/atom
VASP energy: -3.1511 eV per atom
energy above the most stable polymorph in this dataset: 58 meV/atom

Unit cell a=5.1154 b=5.1154 c=6.2963 alpha=96.06 beta=96.06 gamma=32.37
Last column: nearest neighbours and their distance in Å.
Positions (direct):
K (0.0000, 0.0000, 0.0000)  2 K 2.85
Ag (0.5022, 0.5022, 0.5219)  3 Rh 2.82-2.87, 5 Ag 2.85-3.02
Ag (0.7636, 0.7636, 0.3122)  2 Rh 2.76, 5 Ag 2.85-3.02
Rh (0.2394, 0.2394, 0.6812)  5 Ag 2.76-2.87, 2 Rh 2.85